Entry 1:
The following is a DFT calculation (PBE-GGA) of a relaxed structure of ScBe2Se.

Values from the calculation:
For the formation energy from raw total energies, the calculation gives -0.279 eV/atom. For the energy, the calculation gives -4.5961 eV per atom. For the density of states at the Fermi level, the calculation gives 0.445 states/eV per atom. As for the total magnetization: 0.0 μB per formula unit.

a = 7.039 Å, b = 3.520 Å, c = 5.259 Å
α = 90.00°, β = 101.22°, γ = 90.00°
Space group Cm (No. 8)
One atom of each set of equivalent atoms:
Sc: 0.000 0.000 0.000 [2 per cell]
Be: 0.208 0.500 0.343 [2 per cell]
Be: 0.389 0.000 0.308 [2 per cell]
Se: 0.260 0.000 0.664 [2 per cell]

Entry 2:
The following is a DFT calculation (PBE-GGA) of a relaxed structure of YAl2Os2.

Values from the calculation:
For the formation energy, the calculation gives -31.9 kJ/mol of atoms. For the energy, the calculation gives -7.6124 eV per atom. The distance to the lowest polymorph of the same formula is 2 meV per atom. For the density of states at the Fermi level, the calculation gives 1.094 states/eV per atom. As for the total magnetization: 0.0 μB per formula unit.

a = 4.206 Å, b = 4.206 Å, c = 10.492 Å
α = 90.00°, β = 90.00°, γ = 90.00°
Space group I4/mmm (No. 139)
One atom of each set of equivalent atoms:
Y: 0.000 0.000 0.000 [2 per cell]
Al: 0.000 0.500 0.250 [4 per cell]
Os: 0.000 0.000 0.386 [4 per cell]

Q: energy of number 2 (YAl2Os2)?
A: -7.6124 eV per atom

Q: The highest energy belongs to which entry?
A: ScBe2Se

Q: The highest energy belongs to which entry?
A: ScBe2Se